LaPm14Pr: optimized geometry, PBE-GGA.

a = 7.3899 Å, b = 7.3899 Å, c = 11.8723 Å
α = 90.00°, β = 90.00°, γ = 119.95°
Closest atoms and distances in Å follow each position.
Fractional coordinates of all 16 atoms:
La  0.1659  0.8341  0.0000  10 Pm 3.67-3.70, 2 Pr 3.70
Pm  0.6667  0.3333  0.5000  12 Pm 3.63-3.70
Pm  0.1666  0.8334  0.5000  12 Pm 3.63-3.70
Pm  0.1676  0.3342  0.0000  8 Pm 3.66-3.71, 2 Pr 3.68-3.71, 2 La 3.69-3.70
Pm  0.1665  0.3336  0.5000  12 Pm 3.64-3.70
Pm  0.6658  0.8324  0.0000  8 Pm 3.66-3.71, 2 Pr 3.68-3.71, 2 La 3.69-3.70
Pm  0.6664  0.8335  0.5000  12 Pm 3.64-3.70
Pm  0.3336  0.1664  0.7477  10 Pm 3.63-3.70, 1 La 3.67, 1 Pr 3.67
Pm  0.3336  0.1664  0.2523  10 Pm 3.63-3.70, 1 La 3.67, 1 Pr 3.67
Pm  0.8336  0.6664  0.7477  10 Pm 3.63-3.70, 1 La 3.67, 1 Pr 3.67
Pm  0.8336  0.6664  0.2523  10 Pm 3.63-3.70, 1 La 3.67, 1 Pr 3.67
Pm  0.8337  0.1663  0.7493  11 Pm 3.65-3.70, 1 Pr 3.67
Pm  0.8337  0.1663  0.2507  11 Pm 3.65-3.70, 1 Pr 3.67
Pm  0.3334  0.6666  0.7486  11 Pm 3.64-3.70, 1 La 3.67
Pm  0.3334  0.6666  0.2514  11 Pm 3.64-3.70, 1 La 3.67
Pr  0.6660  0.3340  0.0000  10 Pm 3.67-3.71, 2 La 3.70

As for the symmetry: Amm2 (38). For the density of states at the Fermi level, the calculation gives 29.9 states/eV/cell. As for the calculated density: 6.83 g/cm3. For the formation energy, the calculation gives 0.0340 eV per atom. As for the crystal system: orthorhombic.



La2Pm5Pr4: optimized geometry, PBE-GGA.

a = 3.5884 Å, b = 9.4777 Å, c = 12.9145 Å
α = 111.53°, β = 97.99°, γ = 90.00°
Closest atoms and distances in Å follow each position.
Fractional coordinates of all 11 atoms:
La  0.2688  0.2688  0.5375  1 Pr 3.19, 2 Pm 3.49
La  0.7312  0.7312  0.4625  1 Pr 3.19, 2 Pm 3.49
Pm  0.8565  0.0491  0.7130  1 La 3.49, 3 Pr 3.56-3.60, 3 Pm 3.59-3.65
Pm  0.8565  0.6639  0.7130  1 La 3.49, 3 Pr 3.56-3.60, 3 Pm 3.59-3.65
Pm  0.1435  0.3361  0.2870  1 La 3.49, 3 Pr 3.56-3.60, 3 Pm 3.59-3.65
Pm  0.1435  0.9509  0.2870  1 La 3.49, 3 Pr 3.56-3.60, 3 Pm 3.59-3.65
Pm  0.5000  0.0000  0.0000  4 Pr 3.36, 2 Pm 3.59
Pr  0.0000  0.2994  0.0000  4 Pm 3.36-3.56, 6 Pr 3.49-3.59
Pr  0.5970  0.5970  0.1941  1 La 3.19, 4 Pr 3.49
Pr  0.0000  0.7006  0.0000  4 Pm 3.36-3.56, 6 Pr 3.49-3.59
Pr  0.4030  0.4030  0.8059  1 La 3.19, 4 Pr 3.49

As for the symmetry: Immm (71). For the density of states at the Fermi level, the calculation gives 16.0 states/eV/cell. The excess energy over the best structure of this formula in the dataset comes out at 0.110 eV/atom. As for the calculated density: 6.44 g/cm3. For the formation energy, the calculation gives 0.2046 eV per atom. As for the crystal system: orthorhombic.



La4PmPr3: optimized geometry, PBE-GGA.

a = 7.4047 Å, b = 7.4044 Å, c = 10.5730 Å
α = 90.00°, β = 90.00°, γ = 90.00°
Closest atoms and distances in Å follow each position.
Fractional coordinates of all 16 atoms:
Pr  0.0000  0.3104  0.0000  8 La 3.70-3.73, 4 Pr 3.72
Pr  0.2509  0.0606  0.7498  8 La 3.69-3.72, 2 Pm 3.72, 2 Pr 3.72
Pr  0.7491  0.5606  0.7502  8 La 3.69-3.72, 2 Pm 3.72, 2 Pr 3.72
Pr  0.0000  0.8104  0.5000  8 La 3.70-3.73, 4 Pr 3.72
Pr  0.7491  0.5606  0.2498  8 La 3.69-3.72, 2 Pm 3.72, 2 Pr 3.72
Pr  0.2509  0.0606  0.2502  8 La 3.69-3.72, 2 Pm 3.72, 2 Pr 3.72
Pm  0.5001  0.8109  0.0000  8 La 3.70-3.72, 4 Pr 3.72
Pm  0.4999  0.3109  0.5000  8 La 3.70-3.72, 4 Pr 3.72
La  0.0002  0.8109  0.0000  6 Pr 3.70-3.72, 2 Pm 3.70, 4 La 3.72-3.73
La  0.5002  0.3104  0.0000  2 Pm 3.70-3.71, 6 Pr 3.70-3.72, 4 La 3.71-3.72
La  0.7489  0.0605  0.7496  6 Pr 3.69-3.73, 4 La 3.71-3.73, 2 Pm 3.71-3.72
La  0.2511  0.5605  0.7504  6 Pr 3.69-3.73, 4 La 3.71-3.73, 2 Pm 3.71-3.72
La  0.4998  0.8104  0.5000  2 Pm 3.70-3.71, 6 Pr 3.70-3.72, 4 La 3.71-3.72
La  0.9998  0.3109  0.5000  6 Pr 3.70-3.72, 2 Pm 3.70, 4 La 3.72-3.73
La  0.2511  0.5605  0.2496  6 Pr 3.69-3.73, 4 La 3.71-3.73, 2 Pm 3.71-3.72
La  0.7489  0.0605  0.2504  6 Pr 3.69-3.73, 4 La 3.71-3.73, 2 Pm 3.71-3.72

As for the symmetry: Pmn2_1 (31). For the density of states at the Fermi level, the calculation gives 28.3 states/eV/cell. The excess energy over the best structure of this formula in the dataset comes out at 0.000 eV/atom. As for the calculated density: 6.44 g/cm3. For the formation energy, the calculation gives 0.0114 eV per atom. As for the crystal system: orthorhombic.



La5PmPr: optimized geometry, PBE-GGA.

a = 6.7672 Å, b = 6.7683 Å, c = 12.2613 Å
α = 75.06°, β = 75.06°, γ = 97.23°
Closest atoms and distances in Å follow each position.
Fractional coordinates of all 14 atoms:
La  0.0189  0.3905  0.1638  6 La 3.44-3.83, 2 Pr 3.66-3.70, 1 Pm 3.72
La  0.2382  0.5366  0.5366  6 La 3.43-3.83, 2 Pr 3.51-3.58, 1 Pm 3.68
La  0.3908  0.0188  0.6637  6 La 3.44-3.83, 2 Pr 3.66-3.70, 1 Pm 3.72
La  0.1491  0.8506  0.2500  2 Pm 3.42, 6 La 3.43-3.81, 1 Pr 3.53
La  0.4633  0.7618  0.9633  7 La 3.43-3.85, 2 Pr 3.51-3.58, 1 Pm 3.68
La  0.5367  0.2382  0.0367  7 La 3.43-3.85, 2 Pr 3.51-3.58, 1 Pm 3.68
La  0.8509  0.1494  0.7500  2 Pm 3.42, 6 La 3.43-3.81, 1 Pr 3.53
La  0.6092  0.9812  0.3363  6 La 3.44-3.83, 2 Pr 3.66-3.70, 1 Pm 3.72
La  0.7618  0.4634  0.4634  6 La 3.43-3.83, 2 Pr 3.51-3.58, 1 Pm 3.68
La  0.9811  0.6095  0.8362  6 La 3.44-3.83, 2 Pr 3.66-3.70, 1 Pm 3.72
Pm  0.0000  0.0000  0.0000  6 La 3.42-3.72
Pm  0.0000  0.0000  0.5000  6 La 3.42-3.72
Pr  0.4965  0.5038  0.2500  9 La 3.51-3.70
Pr  0.5035  0.4962  0.7500  9 La 3.51-3.70

As for the symmetry: C2/c (15). For the density of states at the Fermi level, the calculation gives 21.0 states/eV/cell. The excess energy over the best structure of this formula in the dataset comes out at 0.000 eV/atom. As for the calculated density: 6.35 g/cm3. For the formation energy, the calculation gives 0.0772 eV per atom. As for the crystal system: monoclinic.



La6PmPr4: optimized geometry, PBE-GGA.

a = 3.6872 Å, b = 11.2959 Å, c = 11.2959 Å
α = 120.00°, β = 90.00°, γ = 90.00°
Closest atoms and distances in Å follow each position.
Fractional coordinates of all 11 atoms:
La  0.0000  0.5329  0.0657  5 Pr 3.59-3.90, 6 La 3.69-3.97
La  0.5000  0.6313  0.8157  4 Pr 3.39-3.45, 2 La 3.69
La  0.0000  0.5329  0.4671  5 Pr 3.59-3.90, 6 La 3.69-3.97
La  0.0000  0.9343  0.4671  5 Pr 3.59-3.90, 6 La 3.69-3.97
La  0.5000  0.1843  0.8157  4 Pr 3.39-3.45, 2 La 3.69
La  0.5000  0.1843  0.3687  4 Pr 3.39-3.45, 2 La 3.69
Pm  0.0000  0.0000  0.0000  6 Pr 3.63, 2 Pm 3.69, 6 La 4.05
Pr  0.5000  0.8404  0.6808  6 La 3.39-3.59, 2 Pm 3.63, 2 Pr 3.69
Pr  0.5000  0.3192  0.1596  6 La 3.39-3.59, 2 Pm 3.63, 2 Pr 3.69
Pr  0.5000  0.8404  0.1596  6 La 3.39-3.59, 2 Pm 3.63, 2 Pr 3.69
Pr  0.0000  0.3333  0.6667  6 La 3.45, 2 Pr 3.69

As for the symmetry: P-6m2 (187). For the density of states at the Fermi level, the calculation gives 16.9 states/eV/cell. The excess energy over the best structure of this formula in the dataset comes out at 0.000 eV/atom. As for the calculated density: 6.28 g/cm3. For the formation energy, the calculation gives 0.1145 eV per atom. As for the crystal system: hexagonal.



La4Pm4Pr3: optimized geometry, PBE-GGA.

a = 5.9035 Å, b = 6.7900 Å, c = 11.0160 Å
α = 90.00°, β = 90.00°, γ = 115.77°
Closest atoms and distances in Å follow each position.
Fractional coordinates of all 11 atoms:
La  0.7603  0.5205  0.7932  2 La 3.31-3.56, 3 Pm 3.42-3.66, 2 Pr 3.60
La  0.7603  0.5205  0.2068  2 La 3.31-3.56, 3 Pm 3.42-3.66, 2 Pr 3.60
La  0.8829  0.7659  0.5000  3 Pm 3.39-3.48, 2 La 3.56, 4 Pr 3.73
La  0.9570  0.9140  0.0000  2 Pm 3.17, 2 La 3.31
Pm  0.6059  0.2117  0.5000  2 Pr 3.30, 1 La 3.39, 4 Pm 3.66
Pm  0.5512  0.1024  0.0000  4 La 3.17-3.42
Pm  0.1061  0.2122  0.6961  4 La 3.48-3.81, 2 Pm 3.66, 4 Pr 3.70-3.82
Pm  0.1061  0.2122  0.3039  4 La 3.48-3.81, 2 Pm 3.66, 4 Pr 3.70-3.82
Pr  0.4085  0.8171  0.2951  3 Pm 3.30-3.70, 2 La 3.60
Pr  0.4085  0.8171  0.7049  3 Pm 3.30-3.70, 2 La 3.60
Pr  0.2516  0.5033  0.0000  7 La 3.60-3.88, 5 Pm 3.66-3.84, 2 Pr 3.77

As for the symmetry: Amm2 (38). For the density of states at the Fermi level, the calculation gives 20.0 states/eV/cell. The excess energy over the best structure of this formula in the dataset comes out at 0.011 eV/atom. As for the calculated density: 6.51 g/cm3. For the formation energy, the calculation gives 0.1314 eV per atom. As for the crystal system: orthorhombic.